1.
VASP calculation (PBE-GGA) on a geometry-optimized Sm4HoSn2 structure.

Magnetic moment, μB/f.u.: 0.000
SG: R-3m, No. 166
Electronic total energy, Ry per atom: -0.348

Cell and atoms, written as POSCAR:
```
Sm4HoSn2
1.0
2.719 1.570 9.277
-2.719 1.570 9.277
0.000 -3.140 9.277
Sm Ho Sn
4 1 2
direct
0.125 0.125 0.125
0.280 0.280 0.280
0.720 0.720 0.720
0.875 0.875 0.875
0.500 0.500 0.500
0.393 0.393 0.393
0.607 0.607 0.607
```

---

2.
VASP calculation (PBE-GGA) on a geometry-optimized Sm2HoSn2 structure.

Magnetic moment, μB/f.u.: 0.000
SG: P4/mbm, No. 127
Electronic total energy, Ry per atom: -0.375

Cell and atoms, written as POSCAR:
```
Sm2HoSn2
1.0
8.103 0.000 0.000
0.000 8.103 0.000
0.000 0.000 4.489
Sm Ho Sn
4 2 4
direct
0.171 0.329 0.000
0.329 0.829 0.000
0.671 0.171 0.000
0.829 0.671 0.000
0.000 0.000 0.500
0.500 0.500 0.500
0.131 0.631 0.500
0.369 0.131 0.500
0.631 0.869 0.500
0.869 0.369 0.500
```

---

3.
VASP calculation (PBE-GGA) on a geometry-optimized SmHo2Sn structure.

Magnetic moment, μB/f.u.: 0.000
SG: P4/mmm, No. 123
Electronic total energy, Ry per atom: -0.359

Cell and atoms, written as POSCAR:
```
SmHo2Sn
1.0
4.832 0.000 0.000
0.000 4.832 0.000
0.000 0.000 4.811
Sm Ho Sn
1 2 1
direct
0.000 0.000 0.000
0.000 0.500 0.500
0.500 0.000 0.500
0.500 0.500 0.000
```

---

4.
VASP calculation (PBE-GGA) on a geometry-optimized SmHo2Sn structure.

Magnetic moment, μB/f.u.: 0.000
SG: P2_1/m, No. 11
Electronic total energy, Ry per atom: -0.359

Cell and atoms, written as POSCAR:
```
SmHo2Sn
1.0
4.622 0.000 0.000
0.000 4.686 0.000
-2.308 0.000 11.236
Sm Ho Sn
2 4 2
direct
0.193 0.250 0.386
0.807 0.750 0.614
0.059 0.750 0.117
0.436 0.750 0.873
0.564 0.250 0.127
0.941 0.250 0.883
0.337 0.250 0.672
0.663 0.750 0.328
```

---

5.
VASP calculation (PBE-GGA) on a geometry-optimized SmHo2Sn structure.

Magnetic moment, μB/f.u.: 0.000
SG: Cmcm, No. 63
Electronic total energy, Ry per atom: -0.350

Cell and atoms, written as POSCAR:
```
SmHo2Sn
1.0
2.723 -6.379 0.000
2.723 6.379 0.000
0.000 0.000 6.883
Sm Ho Sn
2 4 2
direct
0.069 0.931 0.750
0.931 0.069 0.250
0.368 0.632 0.520
0.368 0.632 0.980
0.632 0.368 0.020
0.632 0.368 0.480
0.175 0.825 0.250
0.825 0.175 0.750
```

---

6.
VASP calculation (PBE-GGA) on a geometry-optimized Sm12Ho6Sn structure.

Magnetic moment, μB/f.u.: 0.000
SG: R-3, No. 148
Electronic total energy, Ry per atom: -0.339

Cell and atoms, written as POSCAR:
```
Sm12Ho6Sn
1.0
5.962 3.442 5.070
-5.962 3.442 5.070
0.000 -6.885 5.070
Sm Ho Sn
12 6 1
direct
0.039 0.283 0.931
0.069 0.961 0.717
0.137 0.317 0.486
0.283 0.931 0.039
0.317 0.486 0.137
0.486 0.137 0.317
0.514 0.863 0.683
0.683 0.514 0.863
0.717 0.069 0.961
0.863 0.683 0.514
0.931 0.039 0.283
0.961 0.717 0.069
0.210 0.598 0.755
0.245 0.790 0.402
0.402 0.245 0.790
0.598 0.755 0.210
0.755 0.210 0.598
0.790 0.402 0.245
0.500 0.500 0.500
```

---

7.
VASP calculation (PBE-GGA) on a geometry-optimized Sm3HoSn3 structure.

Magnetic moment, μB/f.u.: 0.000
SG: P6_3/m, No. 176
Electronic total energy, Ry per atom: -0.354

Cell and atoms, written as POSCAR:
```
Sm3HoSn3
1.0
9.517 0.000 0.000
-4.759 8.242 0.000
0.000 0.000 6.216
Sm Ho Sn
6 2 6
direct
0.025 0.331 0.250
0.306 0.975 0.250
0.331 0.306 0.750
0.669 0.694 0.250
0.694 0.025 0.750
0.975 0.669 0.750
0.333 0.667 0.750
0.667 0.333 0.250
0.009 0.349 0.750
0.340 0.991 0.750
0.349 0.340 0.250
0.651 0.660 0.750
0.660 0.009 0.250
0.991 0.651 0.250
```

---

8.
VASP calculation (PBE-GGA) on a geometry-optimized SmHo5Sn4 structure.

Magnetic moment, μB/f.u.: 0.200
SG: C2/m, No. 12
Electronic total energy, Ry per atom: -0.350

Cell and atoms, written as POSCAR:
```
SmHo5Sn4
1.0
8.882 -2.213 0.000
8.882 2.213 0.000
-1.696 0.000 7.827
Sm Ho Sn
1 5 4
direct
0.000 0.000 0.000
0.000 0.000 0.500
0.294 0.294 0.693
0.361 0.361 0.277
0.639 0.639 0.723
0.706 0.706 0.307
0.189 0.189 0.012
0.464 0.464 0.720
0.536 0.536 0.280
0.811 0.811 0.988
```